Below is a geometry-optimized LiPr2Mg5 structure, with properties calculated at the PBE-GGA level.

Cell lengths 6.5606, 6.5606, 6.5606 Å; angles 105.70, 111.39, 111.39 degrees
Sites, in units of the cell vectors:
Mg 0.0000 0.2264 0.2264
Mg 0.5630 0.3091 0.3091
Mg 0.4370 0.7461 0.7461
Mg 0.0000 0.3091 0.7461
Mg 0.0000 0.7461 0.3091
Pr 0.5000 0.7763 0.2763
Pr 0.5000 0.2763 0.7763
Li 0.0000 0.8325 0.8325

## Properties
Space-group type: I4mm (107)
Magnetic moment in μB per formula unit: 0.0
D(E_F) in states/eV/cell: 7.180
Energy relative to the elements in eV/atom: -0.017